No. 1
# LaTcN3 (PBE-GGA, optimized geometry)
data_LaTcN3
_cell_length_a 3.894
_cell_length_b 5.564
_cell_length_c 6.505
_cell_angle_alpha 91.66
_cell_angle_beta 102.39
_cell_angle_gamma 90.79
_space_group_name_H-M_alt 'P 1'
_space_group_IT_number 1
_space_group_name_Hall 'P 1'
loop_
_atom_site_label
_atom_site_fract_x
_atom_site_fract_y
_atom_site_fract_z
La1 0.000 0.000 0.000
La2 0.374 0.433 0.647
Tc1 0.551 0.479 0.116
Tc2 0.693 0.926 0.429
N1 0.112 0.989 0.640
N2 0.294 0.666 0.302
N3 0.450 0.957 0.687
N4 0.568 0.176 0.238
N5 0.955 0.662 0.304
N6 0.974 0.449 0.909
# formation energy without anion corrections: -0.42 eV per atom
# raw total energy: -0.6230 Ry/atom

No. 2
# LaTcN3 (PBE-GGA, optimized geometry)
data_LaTcN3
_cell_length_a 14.325
_cell_length_b 4.065
_cell_length_c 5.195
_cell_angle_alpha 90.00
_cell_angle_beta 107.16
_cell_angle_gamma 90.00
_space_group_name_H-M_alt 'C 1 m 1'
_space_group_IT_number 8
_space_group_name_Hall 'C -2y'
loop_
_atom_site_label
_atom_site_fract_x
_atom_site_fract_y
_atom_site_fract_z
La1 0.000 0.000 0.000
La2 0.243 0.500 0.455
Tc1 0.311 0.000 0.977
Tc2 0.447 0.000 0.428
N1 0.058 0.500 0.314
N2 0.166 0.000 0.874
N3 0.183 0.000 0.135
N4 0.328 0.500 0.079
N5 0.375 0.000 0.704
N6 0.406 0.500 0.334
# formation energy without anion corrections: -0.42 eV per atom
# raw total energy: -0.6229 Ry/atom

No. 3
# LaTcN3 (PBE-GGA, optimized geometry)
data_LaTcN3
_cell_length_a 5.245
_cell_length_b 5.366
_cell_length_c 6.147
_cell_angle_alpha 100.83
_cell_angle_beta 109.86
_cell_angle_gamma 111.00
_space_group_name_H-M_alt 'P 1'
_space_group_IT_number 1
_space_group_name_Hall 'P 1'
loop_
_atom_site_label
_atom_site_fract_x
_atom_site_fract_y
_atom_site_fract_z
La1 0.000 0.000 0.000
La2 0.040 0.565 0.444
Tc1 0.539 0.261 0.695
Tc2 0.658 0.927 0.399
N1 0.091 0.095 0.506
N2 0.412 0.959 0.873
N3 0.451 0.502 0.302
N4 0.528 0.976 0.095
N5 0.606 0.593 0.557
N6 0.868 0.482 0.997
# formation energy without anion corrections: -0.41 eV per atom
# raw total energy: -0.6220 Ry/atom

No. 4
# LaTcN3 (PBE-GGA, optimized geometry)
data_LaTcN3
_cell_length_a 4.577
_cell_length_b 5.381
_cell_length_c 6.204
_cell_angle_alpha 88.14
_cell_angle_beta 71.28
_cell_angle_gamma 87.94
_space_group_name_H-M_alt 'P 1'
_space_group_IT_number 1
_space_group_name_Hall 'P 1'
loop_
_atom_site_label
_atom_site_fract_x
_atom_site_fract_y
_atom_site_fract_z
La1 0.000 0.000 0.000
La2 0.270 0.477 0.467
Tc1 0.617 0.511 0.869
Tc2 0.731 0.916 0.548
N1 0.150 0.999 0.407
N2 0.363 0.734 0.749
N3 0.442 0.001 0.334
N4 0.600 0.210 0.746
N5 0.778 0.545 0.104
N6 0.878 0.571 0.271
# formation energy without anion corrections: -0.47 eV per atom
# raw total energy: -0.6263 Ry/atom

No. 5
# LaTcN3 (PBE-GGA, optimized geometry)
data_LaTcN3
_cell_length_a 6.7165
_cell_length_b 6.7165
_cell_length_c 9.4382
_cell_angle_alpha 90.00
_cell_angle_beta 90.00
_cell_angle_gamma 120.00
_space_group_name_H-M_alt 'R 3 m'
_space_group_IT_number 160
_space_group_name_Hall 'R 3 -2"'
loop_
_atom_site_label
_atom_site_fract_x
_atom_site_fract_y
_atom_site_fract_z
La1 0.0000 0.0000 0.0000
Tc1 0.0000 0.0000 0.6744
N1 0.0490 0.5245 0.4098
# formation energy without anion corrections: -0.05 eV per atom
# raw total energy: -0.5954 Ry/atom

No. 6
# LaTcN3 (PBE-GGA, optimized geometry)
data_LaTcN3
_cell_length_a 3.961
_cell_length_b 5.607
_cell_length_c 6.426
_cell_angle_alpha 112.16
_cell_angle_beta 92.51
_cell_angle_gamma 92.33
_space_group_name_H-M_alt 'P 1'
_space_group_IT_number 1
_space_group_name_Hall 'P 1'
loop_
_atom_site_label
_atom_site_fract_x
_atom_site_fract_y
_atom_site_fract_z
La1 0.000 0.000 0.000
La2 0.057 0.681 0.420
Tc1 0.496 0.490 0.977
Tc2 0.541 0.187 0.445
N1 0.146 0.527 0.736
N2 0.381 0.083 0.714
N3 0.495 0.852 0.187
N4 0.527 0.351 0.210
N5 0.638 0.944 0.634
N6 0.823 0.465 0.715
# formation energy without anion corrections: -0.43 eV per atom
# raw total energy: -0.6236 Ry/atom